{"formula": "Y6HgGe2Se3", "functional": "GGA-PBE", "state": "relaxed", "magnetic_moment_mub_per_cell": 0.0, "formation_energy_uncorrected_kj_per_mol_atoms": -125.0, "final_energy_ev_per_atom": -6.193, "rho_g_cm3": 6.060, "lattice_angstrom": [[4.134, 0.000, 0.000], [0.000, 8.425, 0.006], [-2.067, -2.735, 8.779]], "species": ["Se", "Se", "Se", "Hg", "Y", "Y", "Y", "Y", "Y", "Y", "Ge", "Ge"], "frac_coords": [[0.833, 0.173, 0.665], [0.167, 0.827, 0.335], [0.500, 0.500, 0.000], [0.500, 0.000, 0.000], [0.671, 0.569, 0.342], [0.329, 0.431, 0.658], [0.329, 0.912, 0.658], [0.001, 0.737, 0.003], [0.999, 0.263, 0.997], [0.671, 0.088, 0.342], [0.838, 0.678, 0.675], [0.162, 0.322, 0.325]]}

---

{"formula": "Y2PaTl2Se6", "functional": "GGA-PBE", "state": "relaxed", "magnetic_moment_mub_per_cell": 1.1, "formation_energy_uncorrected_kj_per_mol_atoms": -134.0, "final_energy_ev_per_atom": -5.758, "rho_g_cm3": 6.059, "lattice_angstrom": [[-6.135, 3.627, 1.117], [1.235, -3.117, -6.388], [-1.778, -6.758, 4.327]], "species": ["Tl", "Tl", "Y", "Y", "Se", "Se", "Se", "Se", "Se", "Se", "Pa"], "frac_coords": [[0.167, 0.833, 0.000], [0.833, 0.167, 0.000], [0.333, 0.667, 0.500], [0.667, 0.333, 0.500], [0.067, 0.398, 0.702], [0.933, 0.602, 0.298], [0.261, 0.261, 0.297], [0.398, 0.067, 0.702], [0.739, 0.739, 0.703], [0.602, 0.933, 0.298], [0.000, 0.000, 0.500]]}

---

{"formula": "KSnGe", "functional": "GGA-PBE", "state": "relaxed", "magnetic_moment_mub_per_cell": 0.0, "formation_enthalpy_0k_ev_per_atom": -0.015, "final_energy_ev_per_atom": -3.254, "rho_g_cm3": 3.840, "lattice_angstrom": [[4.407, 0.000, 0.000], [0.000, 5.326, -2.246], [0.000, 0.377, 8.332]], "species": ["Ge", "Ge", "Sn", "Sn", "K", "K"], "frac_coords": [[0.500, 0.212, 0.000], [0.500, 0.788, 0.000], [0.500, 0.364, 0.727], [0.500, 0.636, 0.273], [0.000, 0.162, 0.324], [0.000, 0.838, 0.676]]}

---

{"formula": "Ta3OsSe", "functional": "GGA-PBE", "state": "relaxed", "polymorph_energy_mev_per_atom": 69.8, "magnetic_moment_mub_per_cell": 0.0, "formation_energy_uncorrected_kj_per_mol_atoms": 118.1, "final_energy_ev_per_atom": -8.830, "rho_g_cm3": 13.638, "lattice_angstrom": [[-3.779, 2.663, -0.083], [-2.644, -3.767, -0.450], [-0.327, -0.320, 4.601]], "species": ["Ta", "Ta", "Ta", "Se", "Os"], "frac_coords": [[0.000, 0.500, 0.000], [0.500, 0.000, 0.000], [0.000, 0.000, 0.500], [0.000, 0.000, 0.000], [0.500, 0.500, 0.500]]}

---

{"formula": "CsVS3", "functional": "GGA-PBE", "state": "relaxed", "polymorph_energy_mev_per_atom": 197.8, "magnetic_moment_mub_per_cell": 0.0, "formation_energy_uncorrected_kj_per_mol_atoms": -75.9, "final_energy_ev_per_atom": -5.258, "rho_g_cm3": 3.053, "lattice_angstrom": [[22.263, 0.000, -2.980], [8.642, 1.687, -5.213], [-8.642, 1.687, 5.213]], "species": ["S", "S", "S", "S", "S", "S", "V", "V", "Cs", "Cs"], "frac_coords": [[0.843, 0.857, 0.143], [0.805, 0.245, 0.755], [0.195, 0.755, 0.245], [0.469, 0.384, 0.616], [0.531, 0.616, 0.384], [0.157, 0.143, 0.857], [0.298, 0.081, 0.919], [0.702, 0.919, 0.081], [0.854, 0.024, 0.976], [0.146, 0.976, 0.024]]}

---

{"formula": "TbNi5Ir2", "functional": "GGA-PBE", "state": "relaxed", "magnetic_moment_mub_per_cell": 0.0, "formation_enthalpy_0k_ev_per_atom": -0.007, "final_energy_ev_per_atom": -6.415, "rho_g_cm3": 11.757, "lattice_angstrom": [[-0.337, 3.460, 1.373], [0.909, -0.275, 6.005], [5.532, 1.900, 1.658]], "species": ["Ir", "Ir", "Ni", "Ni", "Ni", "Ni", "Ni", "Tb"], "frac_coords": [[0.256, 0.244, 0.244], [0.744, 0.756, 0.756], [0.630, 0.549, 0.191], [0.370, 0.809, 0.451], [0.000, 0.500, 0.500], [0.630, 0.191, 0.549], [0.370, 0.451, 0.809], [0.000, 0.000, 0.000]]}

---

{"formula": "P2RhCl", "functional": "GGA-PBE", "state": "relaxed", "polymorph_energy_mev_per_atom": 312.5, "magnetic_moment_mub_per_cell": 0.5, "formation_energy_uncorrected_kj_per_mol_atoms": 13.9, "final_energy_ev_per_atom": -4.861, "rho_g_cm3": 4.268, "lattice_angstrom": [[-1.288, -0.433, 2.457], [1.490, -2.352, 0.365], [7.049, 5.179, 4.606]], "species": ["P", "P", "Rh", "Cl"], "frac_coords": [[0.000, 0.000, 0.411], [0.000, 0.000, 0.089], [0.500, 0.500, 0.250], [0.500, 0.500, 0.750]]}

---

{"formula": "CaPuCuN3", "functional": "GGA-PBE", "state": "relaxed", "magnetic_moment_mub_per_cell": 4.0, "formation_energy_uncorrected_kj_per_mol_atoms": -65.6, "final_energy_ev_per_atom": -8.248, "rho_g_cm3": 7.072, "lattice_angstrom": [[-2.805, 2.011, -0.987], [1.264, -2.535, -8.763], [-3.733, -3.594, 3.286]], "species": ["N", "N", "N", "N", "N", "N", "Ca", "Ca", "Cu", "Cu", "Pu", "Pu"], "frac_coords": [[0.250, 0.508, 0.811], [0.750, 0.786, 0.127], [0.250, 0.214, 0.873], [0.750, 0.492, 0.189], [0.750, 0.223, 0.460], [0.250, 0.777, 0.540], [0.250, 0.313, 0.298], [0.750, 0.687, 0.702], [0.250, 0.999, 0.672], [0.750, 0.001, 0.328], [0.750, 0.332, 0.817], [0.250, 0.668, 0.183]]}